Here is Te4Mo2H after structural relaxation from Alexandria. Energies are from GGA-PBE.

Results
SG = I4/mmm (139)
total magnetization = 0.797 μB per atom
V = 153 Å³ per cell
E = -4.70 eV per atom

Cell lengths 4.3653, 4.3653, 8.5992 Å; angles 75.30, 75.30, 90.00 degrees
Each line ends with the local moment (μB).
Positions (direct):
H 0.0000 0.0000 0.0000  0.00
Mo 0.6356 0.6356 0.7288  2.55
Mo 0.3644 0.3644 0.2712  2.55
Te 0.8093 0.8093 0.3814  -0.13
Te 0.1907 0.1907 0.6186  -0.13
Te 0.0000 0.5000 0.0000  -0.04
Te 0.5000 0.0000 0.0000  -0.04